(1)
Crystalline Hf2MnNb at its relaxed geometry. Source: Alexandria, functional PBE.

Results
The total magnetization comes out at 0.0 μB/f.u. As for the density of states at the Fermi level: 0.917 states/eV per atom. Its excess energy over the best structure of this formula in the dataset is 0.5199 eV/atom. The calculated density is 11.05 g/cm³.

abc: 5.903 5.903 5.903
angles: 103.24 103.24 122.82
Fractional positions:
Hf (0.081, 0.625, 0.956)
Hf (0.375, 0.331, 0.456)
Hf (0.669, 0.125, 0.044)
Hf (0.875, 0.919, 0.544)
Mn (0.000, 0.000, 0.000)
Mn (0.750, 0.250, 0.500)
Nb (0.250, 0.750, 0.500)
Nb (0.500, 0.500, 0.000)

(2)
Crystalline Hf2MnNb2 at its relaxed geometry. Source: Alexandria, functional PBE.

Results
The value obtained for the uncorrected energy is -96.47 eV for the cell shown. The total magnetization comes out at 0.0 μB/f.u. As for the density of states at the Fermi level: 1.039 states/eV per atom. The calculated density is 10.28 g/cm³.

abc: 6.369 6.369 4.761
angles: 90.00 90.00 90.00
Fractional positions:
Hf (0.164, 0.336, 0.000)
Hf (0.336, 0.836, 0.000)
Hf (0.664, 0.164, 0.000)
Hf (0.836, 0.664, 0.000)
Mn (0.000, 0.000, 0.500)
Mn (0.500, 0.500, 0.500)
Nb (0.155, 0.655, 0.500)
Nb (0.345, 0.155, 0.500)
Nb (0.655, 0.845, 0.500)
Nb (0.845, 0.345, 0.500)

What did the second record say?
Crystalline Hf2MnNb2 at its relaxed geometry. Source: Alexandria, functional PBE.

Results
The value obtained for the uncorrected energy is -96.47 eV for the cell shown. The total magnetization comes out at 0.0 μB/f.u. As for the density of states at the Fermi level: 1.039 states/eV per atom. The calculated density is 10.28 g/cm³.

abc: 6.369 6.369 4.761
angles: 90.00 90.00 90.00
Fractional positions:
Hf (0.164, 0.336, 0.000)
Hf (0.336, 0.836, 0.000)
Hf (0.664, 0.164, 0.000)
Hf (0.836, 0.664, 0.000)
Mn (0.000, 0.000, 0.500)
Mn (0.500, 0.500, 0.500)
Nb (0.155, 0.655, 0.500)
Nb (0.345, 0.155, 0.500)
Nb (0.655, 0.845, 0.500)
Nb (0.845, 0.345, 0.500)

Question: Which value of calculated density does entry 2 give?
Answer: 10.28 g/cm³

Copy entry 1 word for word.
Crystalline Hf2MnNb at its relaxed geometry. Source: Alexandria, functional PBE.

Results
The total magnetization comes out at 0.0 μB/f.u. As for the density of states at the Fermi level: 0.917 states/eV per atom. Its excess energy over the best structure of this formula in the dataset is 0.5199 eV/atom. The calculated density is 11.05 g/cm³.

abc: 5.903 5.903 5.903
angles: 103.24 103.24 122.82
Fractional positions:
Hf (0.081, 0.625, 0.956)
Hf (0.375, 0.331, 0.456)
Hf (0.669, 0.125, 0.044)
Hf (0.875, 0.919, 0.544)
Mn (0.000, 0.000, 0.000)
Mn (0.750, 0.250, 0.500)
Nb (0.250, 0.750, 0.500)
Nb (0.500, 0.500, 0.000)